A plane-wave DFT calculation with PBE with a Hubbard U was carried out for a relaxed structure of CaNi3O.

The structure belongs to space group Pm-3m (No. 221); the cell edges are 3.986, 3.986 and 3.986 Å and the angles 90.00°, 90.00° and 90.00°. The asymmetric unit holds Ca at (0.000, 0.000, 0.000), Ni at (0.000, 0.500, 0.500) and O at (0.500, 0.500, 0.500).

The calculation puts the energy relative to the lowest polymorph listed for this composition at 0.0 meV/atom. The electronic total energy is -2.5733 eV/atom.